DFT (GGA-PBEsol) results for crystalline YCo2Cl at its relaxed geometry.

Values from the calculation:
* formation energy from raw total energies: -22 kJ per mole of atoms
* SG: P4mm, No. 99
* excess energy over the best structure of this formula in the dataset: 0.162 eV per atom
* E_tot: -0.2316 hartree per atom

Cell: 3.202 3.202 7.213 Å, 90.00 90.00 90.00°
Atoms (fractional coordinates):
Co: 0.000 0.000 0.121
Co: 0.500 0.500 0.203
Cl: 0.500 0.500 0.701
Y: 0.000 0.000 0.475

DFT (GGA-PBEsol) results for crystalline LiSn at its relaxed geometry.

Values from the calculation:
* SG: P2/m, No. 10
* E_tot: -0.1277 hartree per atom

Cell: 3.177 5.100 7.671 Å, 105.29 90.00 90.00°
Atoms (fractional coordinates):
Li: 0.500 0.268 0.329
Li: 0.500 0.500 0.000
Li: 0.500 0.732 0.671
Sn: 0.000 0.758 0.339
Sn: 0.000 0.000 0.000
Sn: 0.000 0.242 0.661

DFT (GGA-PBEsol) results for crystalline HfNb3H at its relaxed geometry.

Values from the calculation:
* SG: Pm-3m, No. 221
* excess energy over the best structure of this formula in the dataset: 0.000 eV per atom
* E_tot: -0.3366 hartree per atom

Cell: 4.260 4.260 4.260 Å, 90.00 90.00 90.00°
Atoms (fractional coordinates):
Nb: 0.000 0.500 0.000
Nb: 0.500 0.000 0.000
Nb: 0.000 0.000 0.500
H: 0.000 0.000 0.000
Hf: 0.500 0.500 0.500

DFT (GGA-PBEsol) results for crystalline TaReTe at its relaxed geometry.

Values from the calculation:
* formation energy from raw total energies: 15 kJ per mole of atoms
* SG: F-43m, No. 216
* E_tot: -0.3544 hartree per atom

Cell: 4.385 4.385 4.385 Å, 60.00 60.00 60.00°
Atoms (fractional coordinates):
Te: 0.500 0.500 0.500
Re: 0.750 0.750 0.750
Ta: 0.000 0.000 0.000